(1)
Entry from the Alexandria database: a relaxed structure of Pu2MnAs4Pd3 (GGA-PBE).

Cell: 4.365 4.365 10.137 Å, 90.00 90.00 90.00°
Sites, in units of the cell vectors:
Pu 0.000 0.500 0.237
Pu 0.500 0.000 0.763
Mn 0.000 0.000 0.500
As 0.000 0.000 0.000
As 0.000 0.500 0.633
As 0.500 0.000 0.367
As 0.500 0.500 0.000
Pd 0.000 0.500 0.876
Pd 0.500 0.000 0.124
Pd 0.500 0.500 0.500

Calculated values
* DFT total energy: -77.8 eV/cell
* total magnetization: 14.781 μB/cell
* Fermi-level density of states: 28.8 states/eV/cell

(2)
Entry from the Alexandria database: a relaxed structure of Ba2LiPm (GGA-PBE).

Cell: 3.847 3.847 40.004 Å, 90.00 90.00 120.00°
Sites, in units of the cell vectors:
Ba 0.000 0.000 0.091
Ba 0.000 0.000 0.909
Ba 0.333 0.667 0.576
Ba 0.333 0.667 0.758
Ba 0.667 0.333 0.242
Ba 0.667 0.333 0.424
Li 0.000 0.000 0.500
Li 0.333 0.667 0.167
Li 0.667 0.333 0.833
Pm 0.000 0.000 0.000
Pm 0.333 0.667 0.667
Pm 0.667 0.333 0.333

Calculated values
* DFT total energy: -27.4 eV/cell
* total magnetization: 1.210 μB/cell
* Fermi-level density of states: 17.4 states/eV/cell

(3)
Entry from the Alexandria database: a relaxed structure of Rb3YNp2Se6 (GGA-PBE).

Cell: 7.426 7.426 8.369 Å, 98.50 98.50 120.00°
Sites, in units of the cell vectors:
Rb 0.000 0.000 0.000
Rb 0.333 0.667 0.000
Rb 0.667 0.333 0.000
Y 0.500 0.500 0.500
Np 0.167 0.833 0.500
Np 0.833 0.167 0.500
Se 0.103 0.435 0.304
Se 0.234 0.234 0.696
Se 0.435 0.103 0.304
Se 0.565 0.897 0.696
Se 0.766 0.766 0.304
Se 0.897 0.565 0.696

Calculated values
* DFT total energy: -72.9 eV/cell
* total magnetization: 8.000 μB/cell
* formation energy from raw total energies: -1.40 eV per atom
* Fermi-level density of states: 19.9 states/eV/cell

(4)
Entry from the Alexandria database: a relaxed structure of CuPbS (GGA-PBE).

Cell: 3.836 3.836 4.912 Å, 90.00 90.00 120.00°
Sites, in units of the cell vectors:
Cu 0.000 0.000 0.000
Pb 0.667 0.333 0.387
S 0.333 0.667 0.868

Calculated values
* DFT total energy: -12.5 eV/cell
* total magnetization: 0.000 μB/cell
* formation energy from raw total energies: -0.18 eV per atom
* Fermi-level density of states: 0.6 states/eV/cell

(5)
Entry from the Alexandria database: a relaxed structure of ZnCo2Au (GGA-PBE).

Cell: 2.703 2.703 26.083 Å, 90.00 90.00 120.00°
Sites, in units of the cell vectors:
Zn 0.000 0.000 0.000
Zn 0.333 0.667 0.667
Zn 0.667 0.333 0.333
Co 0.000 0.000 0.254
Co 0.000 0.000 0.746
Co 0.333 0.667 0.412
Co 0.333 0.667 0.921
Co 0.667 0.333 0.079
Co 0.667 0.333 0.588
Au 0.000 0.000 0.500
Au 0.333 0.667 0.167
Au 0.667 0.333 0.833

Calculated values
* DFT total energy: -53.7 eV/cell
* total magnetization: 9.105 μB/cell
* Fermi-level density of states: 11.5 states/eV/cell

(6)
Entry from the Alexandria database: a relaxed structure of CrMoH2S (GGA-PBE).

Cell: 3.429 3.429 5.171 Å, 90.00 90.00 90.00°
Sites, in units of the cell vectors:
Cr 0.000 0.000 0.000
Mo 0.500 0.500 0.000
H 0.000 0.500 0.500
H 0.500 0.000 0.500
S 0.500 0.500 0.500

Calculated values
* DFT total energy: -27.2 eV/cell
* total magnetization: 1.749 μB/cell
* Fermi-level density of states: 1.9 states/eV/cell

(7)
Entry from the Alexandria database: a relaxed structure of ZrGaRh2 (GGA-PBE).

Cell: 6.914 6.914 5.859 Å, 90.00 90.00 90.00°
Sites, in units of the cell vectors:
Zr 0.000 0.000 0.000
Zr 0.000 0.500 0.250
Zr 0.500 0.000 0.750
Zr 0.500 0.500 0.500
Ga 0.000 0.000 0.500
Ga 0.000 0.500 0.750
Ga 0.500 0.000 0.250
Ga 0.500 0.500 0.000
Rh 0.229 0.250 0.625
Rh 0.250 0.729 0.875
Rh 0.250 0.771 0.375
Rh 0.271 0.250 0.125
Rh 0.729 0.750 0.125
Rh 0.750 0.229 0.375
Rh 0.750 0.271 0.875
Rh 0.771 0.750 0.625

Calculated values
* DFT total energy: -110.5 eV/cell
* total magnetization: 0.000 μB/cell
* Fermi-level density of states: 12.4 states/eV/cell

(8)
Entry from the Alexandria database: a relaxed structure of Dy2AlZn5 (GGA-PBE).

Cell: 8.248 8.248 8.892 Å, 90.00 90.00 149.60°
Sites, in units of the cell vectors:
Dy 0.000 0.000 0.000
Dy 0.000 0.000 0.500
Dy 0.200 0.800 0.750
Dy 0.800 0.200 0.250
Al 0.446 0.554 0.250
Al 0.554 0.446 0.750
Zn 0.189 0.811 0.107
Zn 0.189 0.811 0.393
Zn 0.352 0.648 0.022
Zn 0.352 0.648 0.478
Zn 0.398 0.602 0.750
Zn 0.602 0.398 0.250
Zn 0.648 0.352 0.522
Zn 0.648 0.352 0.978
Zn 0.811 0.189 0.607
Zn 0.811 0.189 0.893

Calculated values
* DFT total energy: -44.3 eV/cell
* total magnetization: 0.000 μB/cell
* Fermi-level density of states: 11.3 states/eV/cell

(9)
Entry from the Alexandria database: a relaxed structure of Na2UGaTe4 (GGA-PBE).

Cell: 7.811 7.811 7.577 Å, 90.00 90.00 90.00°
Sites, in units of the cell vectors:
Na 0.000 0.500 0.000
Na 0.000 0.500 0.500
Na 0.500 0.000 0.000
Na 0.500 0.000 0.500
U 0.000 0.000 0.000
U 0.500 0.500 0.500
Ga 0.000 0.000 0.500
Ga 0.500 0.500 0.000
Te 0.200 0.200 0.299
Te 0.200 0.800 0.701
Te 0.300 0.300 0.799
Te 0.300 0.700 0.201
Te 0.700 0.300 0.201
Te 0.700 0.700 0.799
Te 0.800 0.200 0.701
Te 0.800 0.800 0.299

Calculated values
* DFT total energy: -68.1 eV/cell
* total magnetization: 6.005 μB/cell
* formation energy from raw total energies: -0.57 eV per atom
* Fermi-level density of states: 16.1 states/eV/cell

(10)
Entry from the Alexandria database: a relaxed structure of DyScPd (GGA-PBE).

Cell: 3.446 3.446 11.576 Å, 90.00 90.00 90.00°
Sites, in units of the cell vectors:
Dy 0.000 0.000 0.000
Dy 0.500 0.500 0.500
Sc 0.000 0.000 0.283
Sc 0.500 0.500 0.783
Pd 0.000 0.000 0.660
Pd 0.500 0.500 0.160

Calculated values
* DFT total energy: -35.5 eV/cell
* total magnetization: 0.000 μB/cell
* Fermi-level density of states: 5.7 states/eV/cell

(11)
Entry from the Alexandria database: a relaxed structure of YPNF2 (GGA-PBE).

Cell: 4.273 4.273 4.948 Å, 90.00 90.00 90.00°
Sites, in units of the cell vectors:
Y 0.000 0.000 0.000
P 0.500 0.500 0.500
N 0.000 0.000 0.500
F 0.000 0.500 0.000
F 0.500 0.000 0.000

Calculated values
* DFT total energy: -29.9 eV/cell
* total magnetization: 1.001 μB/cell
* formation energy from raw total energies: -1.19 eV per atom
* Fermi-level density of states: 0.4 states/eV/cell

(12)
Entry from the Alexandria database: a relaxed structure of SnSb2TeBr (GGA-PBE).

Cell: 5.745 5.745 5.649 Å, 90.00 90.00 90.00°
Sites, in units of the cell vectors:
Sn 0.000 0.000 0.000
Sb 0.000 0.500 0.000
Sb 0.500 0.000 0.000
Te 0.000 0.000 0.500
Br 0.500 0.500 0.500

Calculated values
* DFT total energy: -14.0 eV/cell
* total magnetization: 0.000 μB/cell
* formation energy from raw total energies: 0.62 eV per atom
* Fermi-level density of states: 5.2 states/eV/cell

(13)
Entry from the Alexandria database: a relaxed structure of Be2SiPb (GGA-PBE).

Cell: 2.937 3.150 7.341 Å, 90.00 90.00 90.00°
Sites, in units of the cell vectors:
Be 0.000 0.000 0.000
Be 0.500 0.500 0.141
Si 0.500 0.500 0.829
Pb 0.000 0.000 0.416

Calculated values
* DFT total energy: -14.3 eV/cell
* total magnetization: 0.000 μB/cell
* formation energy from raw total energies: 0.57 eV per atom
* Fermi-level density of states: 1.3 states/eV/cell

(14)
Entry from the Alexandria database: a relaxed structure of Na3Ho3PaS8 (GGA-PBE).

Cell: 8.144 8.144 8.144 Å, 58.59 58.59 58.59°
Sites, in units of the cell vectors:
Na 0.000 0.500 0.500
Na 0.500 0.000 0.500
Na 0.500 0.500 0.000
Ho 0.000 0.000 0.500
Ho 0.000 0.500 0.000
Ho 0.500 0.000 0.000
Pa 0.500 0.500 0.500
S 0.242 0.242 0.242
S 0.242 0.739 0.739
S 0.261 0.261 0.758
S 0.261 0.758 0.261
S 0.739 0.242 0.739
S 0.739 0.739 0.242
S 0.758 0.261 0.261
S 0.758 0.758 0.758

Calculated values
* DFT total energy: -87.0 eV/cell
* total magnetization: 1.035 μB/cell
* formation energy from raw total energies: -1.78 eV per atom
* Fermi-level density of states: 3.8 states/eV/cell

(15)
Entry from the Alexandria database: a relaxed structure of Tb2Nd3Sm6 (GGA-PBE).

Cell: 32.655 32.655 32.655 Å, 6.37 6.37 6.37°
Sites, in units of the cell vectors:
Tb 0.045 0.045 0.045
Tb 0.955 0.955 0.955
Nd 0.228 0.228 0.228
Nd 0.500 0.500 0.500
Nd 0.772 0.772 0.772
Sm 0.136 0.136 0.136
Sm 0.318 0.318 0.318
Sm 0.408 0.408 0.408
Sm 0.592 0.592 0.592
Sm 0.682 0.682 0.682
Sm 0.864 0.864 0.864

Calculated values
* DFT total energy: -51.7 eV/cell
* total magnetization: 0.000 μB/cell
* Fermi-level density of states: 14.4 states/eV/cell

(16)
Entry from the Alexandria database: a relaxed structure of SrB4Pt4 (GGA-PBE).

Cell: 8.452 8.452 3.550 Å, 90.00 90.00 90.00°
Sites, in units of the cell vectors:
Sr 0.250 0.250 0.250
Sr 0.750 0.750 0.750
B 0.023 0.575 0.237
B 0.075 0.977 0.737
B 0.425 0.523 0.737
B 0.477 0.925 0.237
B 0.523 0.075 0.763
B 0.575 0.477 0.263
B 0.925 0.023 0.263
B 0.977 0.425 0.763
Pt 0.081 0.831 0.238
Pt 0.169 0.581 0.738
Pt 0.331 0.919 0.738
Pt 0.419 0.669 0.238
Pt 0.581 0.331 0.762
Pt 0.669 0.081 0.262
Pt 0.831 0.419 0.262
Pt 0.919 0.169 0.762

Calculated values
* DFT total energy: -112.6 eV/cell
* total magnetization: 0.000 μB/cell
* Fermi-level density of states: 4.4 states/eV/cell

(17)
Entry from the Alexandria database: a relaxed structure of Ag2Se (GGA-PBE).

Cell: 4.609 4.609 13.696 Å, 97.60 97.60 71.66°
Sites, in units of the cell vectors:
Ag 0.048 0.090 0.405
Ag 0.076 0.536 0.263
Ag 0.090 0.048 0.905
Ag 0.464 0.924 0.237
Ag 0.536 0.076 0.763
Ag 0.910 0.952 0.095
Ag 0.924 0.464 0.737
Ag 0.952 0.910 0.595
Se 0.294 0.304 0.598
Se 0.304 0.294 0.098
Se 0.696 0.706 0.902
Se 0.706 0.696 0.402

Calculated values
* DFT total energy: -37.4 eV/cell
* total magnetization: 0.000 μB/cell
* formation energy from raw total energies: -0.06 eV per atom
* Fermi-level density of states: 0.1 states/eV/cell

(18)
Entry from the Alexandria database: a relaxed structure of SrCa2CeS4 (GGA-PBE).

Cell: 7.114 4.089 7.136 Å, 90.00 109.39 90.00°
Sites, in units of the cell vectors:
Sr 0.000 0.000 0.000
Ca 0.500 0.000 0.500
Ca 0.500 0.500 0.000
Ce 0.000 0.500 0.500
S 0.257 0.000 0.748
S 0.259 0.500 0.260
S 0.741 0.500 0.740
S 0.743 0.000 0.252

Calculated values
* DFT total energy: -44.5 eV/cell
* total magnetization: 1.379 μB/cell
* formation energy from raw total energies: -2.05 eV per atom
* Fermi-level density of states: 8.4 states/eV/cell

(19)
Entry from the Alexandria database: a relaxed structure of MnCrFe2 (GGA-PBE).

Cell: 2.484 3.534 4.991 Å, 90.00 90.00 90.00°
Sites, in units of the cell vectors:
Mn 0.000 0.000 0.000
Cr 0.000 0.000 0.500
Fe 0.500 0.500 0.247
Fe 0.500 0.500 0.753

Calculated values
* DFT total energy: -35.4 eV/cell
* total magnetization: 0.676 μB/cell
* Fermi-level density of states: 4.7 states/eV/cell

(20)
Entry from the Alexandria database: a relaxed structure of TlHgSbW2 (GGA-PBE).

Cell: 5.121 5.121 5.486 Å, 90.00 90.00 90.00°
Sites, in units of the cell vectors:
Tl 0.000 0.000 0.000
Hg 0.500 0.500 0.500
Sb 0.000 0.000 0.500
W 0.000 0.500 0.000
W 0.500 0.000 0.000

Calculated values
* DFT total energy: -19.3 eV/cell
* total magnetization: 0.001 μB/cell
* formation energy from raw total energies: 2.68 eV per atom
* Fermi-level density of states: 8.3 states/eV/cell